No. 1
Density functional theory data (PBE) for a geometry-optimized MgTl2CdPt structure.

abc: 5.3535 5.3535 5.1693
angles: 90.00 90.00 90.00
Closest atoms and distances in Å follow each position.
Space group P4/mmm (No. 123)
One atom of each set of equivalent atoms:
Mg 0.0000 0.0000 0.0000 (multiplicity 1)  2 Cd 2.58, 4 Tl 2.68
Tl 0.0000 0.5000 0.0000 (multiplicity 2)  2 Mg 2.68
Cd 0.0000 0.0000 0.5000 (multiplicity 1)  2 Mg 2.58
Pt 0.5000 0.5000 0.5000 (multiplicity 1)  8 Tl 3.72, 4 Cd 3.79

Values from the calculation:
calculated volume: 148.2 Å³/f.u.
energy of formation: 0.73 eV per atom

No. 2
Density functional theory data (PBE) for a geometry-optimized MgTlCd2Pt structure.

abc: 5.2692 5.2692 5.0178
angles: 90.00 90.00 90.00
Closest atoms and distances in Å follow each position.
Space group P4/mmm (No. 123)
One atom of each set of equivalent atoms:
Mg 0.0000 0.0000 0.0000 (multiplicity 1)  2 Pt 2.51
Tl 0.5000 0.5000 0.0000 (multiplicity 1)  8 Cd 3.64, 4 Mg 3.73
Cd 0.0000 0.5000 0.5000 (multiplicity 2)  2 Pt 2.63
Pt 0.0000 0.0000 0.5000 (multiplicity 1)  2 Mg 2.51, 4 Cd 2.63

Values from the calculation:
calculated volume: 139.3 Å³/f.u.
energy of formation: -0.14 eV per atom

No. 3
Density functional theory data (PBE) for a geometry-optimized YMgCdPt structure.

abc: 6.9400 6.9400 6.9400
angles: 90.00 90.00 90.00
Closest atoms and distances in Å follow each position.
Space group F-43m (No. 216)
One atom of each set of equivalent atoms:
Y 0.0000 0.0000 0.0000 (multiplicity 4)  4 Cd 3.01, 4 Pt 3.01
Mg 0.0000 0.0000 0.5000 (multiplicity 4)  4 Cd 3.01, 4 Pt 3.01
Cd 0.2500 0.2500 0.7500 (multiplicity 4)  4 Mg 3.01, 4 Y 3.01
Pt 0.2500 0.2500 0.2500 (multiplicity 4)  4 Mg 3.01, 4 Y 3.01

Values from the calculation:
calculated volume: 83.6 Å³/f.u.
energy of formation: -0.64 eV per atom

No. 4
Density functional theory data (PBE) for a geometry-optimized MgZn2Cd2Pt5 structure.

abc: 9.3419 9.3419 3.8567
angles: 90.00 90.00 90.00
Closest atoms and distances in Å follow each position.
Space group P4/mbm (No. 127)
One atom of each set of equivalent atoms:
Mg 0.0000 0.0000 0.0000 (multiplicity 2)  8 Pt 2.76
Zn 0.1268 0.3732 0.0000 (multiplicity 4)  6 Pt 2.55-2.58, 3 Cd 2.66-2.82
Cd 0.1721 0.6721 0.0000 (multiplicity 4)  3 Zn 2.66-2.82
Pt 0.0000 0.5000 0.5000 (multiplicity 2)  4 Zn 2.55
Pt 0.0743 0.1982 0.5000 (multiplicity 8)  2 Zn 2.58, 2 Mg 2.76, 2 Pt 2.80

Values from the calculation:
calculated volume: 168.3 Å³/f.u.
energy of formation: -0.43 eV per atom

No. 5
Density functional theory data (PBE) for a geometry-optimized PuMg2Cd structure.

abc: 3.1381 3.1381 34.6487
angles: 90.00 90.00 120.00
Closest atoms and distances in Å follow each position.
Space group R-3m (No. 166, hexagonal axes)
One atom of each set of equivalent atoms:
Pu 0.0000 0.0000 0.0000 (multiplicity 3)  6 Pu 3.14, 2 Mg 3.20
Mg 0.0000 0.0000 0.0924 (multiplicity 6)  6 Mg 3.14, 3 Cd 3.15, 1 Pu 3.20
Cd 0.0000 0.0000 0.5000 (multiplicity 3)  6 Cd 3.14, 6 Mg 3.15

Values from the calculation:
calculated volume: 98.5 Å³/f.u.
energy relative to the lowest polymorph listed for this composition: 179 meV/atom
energy of formation: 0.19 eV per atom

No. 6
Density functional theory data (PBE) for a geometry-optimized PuMg5Cd7 structure.

abc: 5.9927 10.0186 9.8660
angles: 90.00 90.00 90.00
Closest atoms and distances in Å follow each position.
Space group Imm2 (No. 44)
One atom of each set of equivalent atoms:
Pu 0.0000 0.0000 0.0000 (multiplicity 2)  10 Cd 3.37-3.66, 2 Mg 3.71
Mg 0.0000 0.5000 0.7213 (multiplicity 2)  4 Mg 2.97, 6 Cd 2.99-3.22
Mg 0.2485 0.2539 0.2513 (multiplicity 8)  7 Cd 2.90-3.08, 3 Mg 2.97-3.01
Cd 0.0000 0.0000 0.3415 (multiplicity 2)  3 Cd 3.05-3.33, 6 Mg 3.08-3.22, 1 Pu 3.37
Cd 0.0000 0.0000 0.6510 (multiplicity 2)  5 Cd 3.05-3.28, 4 Mg 3.05
Cd 0.0000 0.2913 0.5047 (multiplicity 4)  5 Mg 2.90-2.99, 1 Cd 3.00
Cd 0.0000 0.3472 0.9982 (multiplicity 4)  5 Mg 3.04-3.13, 4 Cd 3.06-3.30
Cd 0.0000 0.5000 0.2869 (multiplicity 2)  4 Mg 2.90, 4 Cd 3.00-3.23

Values from the calculation:
calculated volume: 296.2 Å³/f.u.
energy of formation: -0.07 eV per atom

Which of these has the lowest calculated volume?
YMgCdPt